Record 1
# TaZn2Os

A geometry-optimized TaZn2Os structure (PBE, the Alexandria database).

Results
Magnetization in μB per formula unit: 0.01
E above lowest polymorph in meV per atom: 121
ρ in g/cm3: 13.51
ΔE_f in eV per atom: 0.103

Cell: 2.7297 4.4844 5.1232 Å, 90.00 100.30 90.00°
With the nearest neighbours (Å) after each atom.
Space group P2/m (No. 10)
Inequivalent atoms, fractional coordinates:
Ta1 0.0000 0.0000 0.0000 x1  2 Os 2.68, 2 Ta 2.73, 4 Zn 2.84
Zn1 0.3473 0.5000 0.7447 x2  5 Zn 2.60-2.86, 2 Os 2.64, 2 Ta 2.84
Os1 0.5000 0.0000 0.5000 x1  4 Zn 2.64, 2 Ta 2.68, 2 Os 2.73

***

Record 2
# TaZn2Os

A geometry-optimized TaZn2Os structure (PBE, the Alexandria database).

Results
Magnetization in μB per formula unit: 0.00
E above lowest polymorph in meV per atom: 48
ρ in g/cm3: 13.51
ΔE_f in eV per atom: 0.030

Cell: 9.3754 3.1307 4.3780 Å, 90.00 106.14 90.00°
With the nearest neighbours (Å) after each atom.
Space group C2/m (No. 12)
Inequivalent atoms, fractional coordinates:
Ta1 0.0000 0.0000 0.0000 x2  4 Os 2.69, 6 Zn 2.83
Zn1 0.2432 0.0000 0.7361 x4  4 Zn 2.62-2.76, 3 Os 2.72-2.87, 3 Ta 2.83
Os1 0.0000 0.5000 0.5000 x2  4 Ta 2.69, 6 Zn 2.72-2.87

***

Record 3
# TaZn2Os

A geometry-optimized TaZn2Os structure (PBE, the Alexandria database).

Results
Magnetization in μB per formula unit: 0.01
E above lowest polymorph in meV per atom: 236
ρ in g/cm3: 13.61
ΔE_f in eV per atom: 0.218

Cell: 5.2496 8.3797 2.7842 Å, 90.00 90.00 90.00°
With the nearest neighbours (Å) after each atom.
Space group Cmmm (No. 65)
Inequivalent atoms, fractional coordinates:
Ta1 0.0000 0.0000 0.0000 x2  2 Os 2.62, 2 Ta 2.78, 8 Zn 2.84
Zn1 0.2500 0.2500 0.5000 x4  4 Zn 2.62-2.78, 4 Ta 2.84, 4 Os 2.84
Os1 0.0000 0.5000 0.0000 x2  2 Ta 2.62, 2 Os 2.78, 8 Zn 2.84

***

Record 4
# TaZn2Os

A geometry-optimized TaZn2Os structure (PBE, the Alexandria database).

Results
Magnetization in μB per formula unit: 0.00
E above lowest polymorph in meV per atom: 182
ρ in g/cm3: 13.53
ΔE_f in eV per atom: 0.164

Cell: 5.3324 8.9993 2.7203 Å, 90.00 109.30 90.00°
With the nearest neighbours (Å) after each atom.
Space group C2/m (No. 12)
Inequivalent atoms, fractional coordinates:
Ta1 0.0000 0.0000 0.0000 x2  2 Os 2.67, 2 Ta 2.72, 4 Zn 2.74
Zn1 0.2500 0.2500 0.5000 x4  4 Zn 2.67-2.72, 2 Ta 2.74, 2 Os 2.74
Os1 0.0000 0.5000 0.0000 x2  2 Ta 2.67, 2 Os 2.72, 4 Zn 2.74

***

Record 5
# Ta3ZnOs

A geometry-optimized Ta3ZnOs structure (PBE, the Alexandria database).

Results
Magnetization in μB per formula unit: 0.00
E above lowest polymorph in meV per atom: 0
ρ in g/cm3: 11.64
ΔE_f in eV per atom: 1.180

Cell: 4.8477 4.8477 4.8477 Å, 90.00 90.00 90.00°
With the nearest neighbours (Å) after each atom.
Space group Pm-3m (No. 221)
Inequivalent atoms, fractional coordinates:
Ta1 0.0000 0.0000 0.5000 x3  2 Os 2.42
Zn1 0.5000 0.5000 0.5000 x1  12 Ta 3.43
Os1 0.0000 0.0000 0.0000 x1  6 Ta 2.42

***

Record 6
# ZrTaOs2

A geometry-optimized ZrTaOs2 structure (PBE, the Alexandria database).

Results
Magnetization in μB per formula unit: 0.00
ρ in g/cm3: 15.89
ΔE_f in eV per atom: -0.092

Cell: 2.8774 4.3158 5.6036 Å, 90.00 101.48 90.00°
With the nearest neighbours (Å) after each atom.
Space group P2/m (No. 10)
Inequivalent atoms, fractional coordinates:
Zr1 0.0000 0.0000 0.0000 x1  8 Os 2.87-3.13, 2 Zr 2.88, 2 Ta 2.88
Ta1 0.5000 0.0000 0.5000 x1  4 Os 2.63, 2 Ta 2.88, 2 Zr 2.88
Os1 0.2985 0.5000 0.7285 x2  2 Ta 2.63, 3 Os 2.78-2.88, 2 Zr 2.87

***

Record 7
# ZrTa2Os

A geometry-optimized ZrTa2Os structure (PBE, the Alexandria database).

Results
Magnetization in μB per formula unit: 0.00
ρ in g/cm3: 15.12
ΔE_f in eV per atom: -0.120

Cell: 4.6695 4.6695 3.2398 Å, 90.00 90.00 90.00°
With the nearest neighbours (Å) after each atom.
Space group P4/mmm (No. 123)
Inequivalent atoms, fractional coordinates:
Zr1 0.0000 0.0000 0.0000 x1  8 Ta 2.84
Ta1 0.0000 0.5000 0.5000 x2  4 Os 2.84, 4 Zr 2.84
Os1 0.5000 0.5000 0.0000 x1  8 Ta 2.84

***

Record 8
# ZrTa2Os2

A geometry-optimized ZrTa2Os2 structure (PBE, the Alexandria database).

Results
Magnetization in μB per formula unit: 0.00
E above lowest polymorph in meV per atom: 0
ρ in g/cm3: 13.97
ΔE_f in eV per atom: -0.131

Cell: 4.3022 4.3022 10.7042 Å, 90.00 90.00 90.00°
With the nearest neighbours (Å) after each atom.
Space group I4/mmm (No. 139)
Inequivalent atoms, fractional coordinates:
Zr1 0.0000 0.0000 0.0000 x2  8 Os 3.28, 8 Ta 3.43
Ta1 0.0000 0.5000 0.2500 x4  4 Os 2.59
Os1 0.0000 0.0000 0.3847 x4  1 Os 2.47, 4 Ta 2.59

***

Record 9
# ZrTa2Os

A geometry-optimized ZrTa2Os structure (PBE, the Alexandria database).

Results
Magnetization in μB per formula unit: 0.00
ρ in g/cm3: 13.33
ΔE_f in eV per atom: 0.339

Cell: 7.5959 7.5959 5.5575 Å, 90.00 90.00 90.00°
With the nearest neighbours (Å) after each atom.
Space group I-42d (No. 122)
Inequivalent atoms, fractional coordinates:
Zr1 0.0000 0.0000 0.0000 x4  2 Os 2.78, 4 Ta 3.01
Ta1 0.2071 0.2500 0.6250 x8  2 Os 2.56, 2 Ta 2.85
Os1 0.0000 0.0000 0.5000 x4  4 Ta 2.56, 2 Zr 2.78

***

Record 10
# ZrTaOs4

A geometry-optimized ZrTaOs4 structure (PBE, the Alexandria database).

Results
Magnetization in μB per formula unit: 0.00
ρ in g/cm3: 17.27
ΔE_f in eV per atom: -0.150

Cell: 7.3521 7.3521 7.3521 Å, 90.00 90.00 90.00°
With the nearest neighbours (Å) after each atom.
Space group F-43m (No. 216)
Inequivalent atoms, fractional coordinates:
Zr1 0.0000 0.0000 0.0000 x4  12 Os 3.05, 4 Ta 3.18
Ta1 0.2500 0.2500 0.2500 x4  12 Os 3.05, 4 Zr 3.18
Os1 0.1251 0.1251 0.6251 x16  6 Os 2.60

***

Record 11
# ZrTa2Os

A geometry-optimized ZrTa2Os structure (PBE, the Alexandria database).

Results
Magnetization in μB per formula unit: 0.00
ρ in g/cm3: 14.78
ΔE_f in eV per atom: -0.217

Cell: 3.2410 3.2410 6.8830 Å, 90.00 90.00 90.00°
With the nearest neighbours (Å) after each atom.
Space group P4mm (No. 99)
Inequivalent atoms, fractional coordinates:
Zr1 0.0000 0.0000 0.0000 x1  4 Os 2.88, 4 Ta 2.95
Ta1 0.0000 0.0000 0.4763 x1  4 Os 2.76, 4 Ta 2.88
Ta2 0.5000 0.5000 0.7291 x1  4 Ta 2.88, 4 Zr 2.95
Os1 0.5000 0.5000 0.2529 x1  4 Ta 2.76, 4 Zr 2.88

***

Record 12
# ZrTa2Os

A geometry-optimized ZrTa2Os structure (PBE, the Alexandria database).

Results
Magnetization in μB per formula unit: 0.00
ρ in g/cm3: 14.31
ΔE_f in eV per atom: 0.131

Cell: 3.0745 3.0745 27.3521 Å, 90.00 90.00 120.00°
With the nearest neighbours (Å) after each atom.
Space group R-3m (No. 166, hexagonal axes)
Inequivalent atoms, fractional coordinates:
Zr1 0.0000 0.0000 0.0000 x3  6 Ta 3.07, 6 Zr 3.07
Ta1 0.0000 0.0000 0.2418 x6  3 Os 2.72
Os1 0.0000 0.0000 0.5000 x3  6 Ta 2.72

***

Q: ρ of number 11 (ZrTa2Os)?
A: 14.78 g/cm3

***

Q: Among the records above, which one has the lowest ΔE_f?
A: number 11